[1]
Below is an optimized crystal structure of YMnCr2, with properties calculated at the PBEsol level.

Properties
Offset from the most stable computed form ... 0.007 eV/atom
Formation energy ... 1.9 eV/f.u.
Total moment ... 0.00 μB per formula unit
Raw total energy ... -8.80 eV/atom

a b c (Å): 2.895 3.391 6.328
angles (deg): 90.00 98.32 90.00
Positions (direct):
Y  0.000  0.000  0.000
Mn  0.000  0.000  0.500
Cr  0.434  0.500  0.659
Cr  0.566  0.500  0.341


[2]
Below is an optimized crystal structure of Mn2ZnCr, with properties calculated at the PBEsol level.

Properties
Formation energy ... 0.7 eV/f.u.
Total moment ... 0.78 μB per formula unit
Raw total energy ... -7.67 eV/atom

a b c (Å): 4.678 4.678 4.678
angles (deg): 144.85 129.59 62.94
Positions (direct):
Mn  0.000  0.000  0.000
Mn  0.761  0.261  0.500
Zn  0.262  0.762  0.500
Cr  0.527  0.527  0.000


[3]
Below is an optimized crystal structure of Mn2ZnCr, with properties calculated at the PBEsol level.

Properties
Formation energy ... 0.6 eV/f.u.
Total moment ... 2.91 μB per formula unit
Raw total energy ... -7.69 eV/atom

a b c (Å): 4.233 4.233 4.233
angles (deg): 126.96 126.96 78.32
Positions (direct):
Mn  0.250  0.750  0.500
Mn  0.750  0.250  0.500
Zn  0.000  0.000  0.000
Cr  0.500  0.500  0.000


[4]
Below is an optimized crystal structure of Mn2ZnCr, with properties calculated at the PBEsol level.

Properties
Formation energy ... 0.4 eV/f.u.
Total moment ... 1.87 μB per formula unit
Raw total energy ... -7.73 eV/atom

a b c (Å): 2.835 2.835 5.710
angles (deg): 90.00 90.00 90.00
Positions (direct):
Mn  0.000  0.000  0.229
Mn  0.000  0.000  0.771
Zn  0.500  0.500  0.500
Cr  0.500  0.500  0.000


[5]
Below is an optimized crystal structure of Mn2ZnCr, with properties calculated at the PBEsol level.

Properties
Formation energy ... 0.7 eV/f.u.
Total moment ... 0.00 μB per formula unit
Raw total energy ... -7.67 eV/atom

a b c (Å): 8.452 8.452 8.452
angles (deg): 16.99 16.99 16.99
Positions (direct):
Mn  0.000  0.000  0.000
Mn  0.259  0.259  0.259
Zn  0.505  0.505  0.505
Cr  0.748  0.748  0.748


[6]
Below is an optimized crystal structure of MnZnCr2, with properties calculated at the PBEsol level.

Properties
Formation energy ... 0.8 eV/f.u.
Total moment ... 2.83 μB per formula unit
Raw total energy ... -7.76 eV/atom

a b c (Å): 2.962 3.985 4.067
angles (deg): 90.00 90.00 90.00
Positions (direct):
Mn  0.000  0.000  0.000
Zn  0.500  0.500  0.000
Cr  0.000  0.500  0.500
Cr  0.500  0.000  0.500


[7]
Below is an optimized crystal structure of Zr3MnCr, with properties calculated at the PBEsol level.

Properties
Formation energy ... 3.9 eV/f.u.
Total moment ... 3.35 μB per formula unit
Raw total energy ... -8.67 eV/atom

a b c (Å): 4.740 4.740 4.740
angles (deg): 90.00 90.00 90.00
Positions (direct):
Zr  0.000  0.000  0.500
Zr  0.000  0.500  0.000
Zr  0.500  0.000  0.000
Mn  0.500  0.500  0.500
Cr  0.000  0.000  0.000


[8]
Below is an optimized crystal structure of ZrMnCr2, with properties calculated at the PBEsol level.

Properties
Formation energy ... 1.2 eV/f.u.
Total moment ... 0.35 μB per formula unit
Raw total energy ... -9.53 eV/atom

a b c (Å): 2.634 2.634 8.178
angles (deg): 90.00 90.00 111.46
Positions (direct):
Zr  0.000  0.000  0.000
Mn  0.500  0.500  0.278
Cr  0.000  0.000  0.495
Cr  0.500  0.500  0.715